{"formula": "SrInNi", "functional": "PBEsol", "state": "optimized geometry", "dos_at_fermi_per_ev_cell": 1.69, "e_tot_ev_per_cell": -11.07, "delta_e_f_ev_per_atom": -0.03, "cell": [[-0.522, -1.855, 4.302], [-3.742, -2.699, 0.965], [0.543, -4.637, 0.648]], "species": ["In", "Ni", "Sr"], "fractional_positions": [[0.500, 0.500, 0.500], [0.250, 0.250, 0.250], [0.000, 0.000, 0.000]]}